Below is GdYThCd after structural relaxation, with properties calculated at the PBE-GGA level.

Values from the calculation:
Formation enthalpy at 0 K   0.34 eV/f.u.
Spin magnetization   8.74 μB per cell

Cell: 5.515 5.515 5.515 Å, 60.00 60.00 60.00°
Fractional positions:
Gd  0.000  0.000  0.000
Y  0.500  0.500  0.500
Th  0.250  0.250  0.250
Cd  0.750  0.750  0.750

=====

Below is CeEr5Ga6 after structural relaxation, with properties calculated at the PBE-GGA level.

Values from the calculation:
Formation enthalpy at 0 K   -6.67 eV/f.u.
Spin magnetization   0.87 μB per cell

Cell: 7.967 7.967 7.117 Å, 90.00 90.00 143.25°
Fractional positions:
Ce  0.000  0.000  0.000
Er  0.000  0.000  0.500
Er  0.332  0.668  0.000
Er  0.337  0.663  0.500
Er  0.663  0.337  0.500
Er  0.668  0.332  0.000
Ga  0.170  0.830  0.257
Ga  0.170  0.830  0.743
Ga  0.500  0.500  0.255
Ga  0.500  0.500  0.745
Ga  0.830  0.170  0.257
Ga  0.830  0.170  0.743